SbTe2Ir | PBE | optimized geometry

Lattice parameters (Å, degrees): 3.974 5.454 5.454 60.16 90.00 90.00
Element x y z (fractional)
Sb 0.000 0.000 0.000
Te 0.000 0.624 0.624
Te 0.500 0.291 0.291
Ir 0.500 0.813 0.813

Summary:
As for the density of states at the Fermi level: 0.5712 states/eV/atom. As for the formation energy (no corrections): -0.086 eV/atom. The total magnetization is 0.000 μB per formula unit. For the mass density, the calculation gives 9.2 g/cm³.